Record 1
First-principles (PBE) data for a relaxed structure of CsLuZnS3, as listed in OQMD via LeMat-Bulk.

As for the total energy: -106.70 eV for the cell shown.

The structure belongs to space group C2/m (No. 12); the cell edges are 17.4273, 4.0580 and 8.8220 Å and the angles 90.00°, 99.73° and 90.00°. Symmetry generates all atoms from Cs at (0.1544, 0.0000, 0.0657), Lu at (0.1643, 0.0000, 0.5598), Zn at (0.0211, 0.5000, 0.7391), S at (0.0000, 0.0000, 0.5000), S at (0.0000, 0.5000, 0.0000), S at (0.1532, 0.5000, 0.7551) and S at (0.1789, 0.5000, 0.3714).

=====

Record 2
First-principles (PBE) data for a relaxed structure of CsLuZnS3, as listed in OQMD via LeMat-Bulk.

As for the total energy: -55.97 eV for the cell shown.

The structure belongs to space group P2_1/m (No. 11); the cell edges are 9.1157, 3.9741 and 10.0095 Å and the angles 90.00°, 112.74° and 90.00°. Symmetry generates all atoms from Cs at (0.2304, 0.2500, 0.2534), Lu at (0.3298, 0.7500, 0.8644), Zn at (0.0827, 0.2500, 0.6117), S at (0.1220, 0.2500, 0.8526), S at (0.1955, 0.7500, 0.5539) and S at (0.4775, 0.7500, 0.1467).

=====

Record 3
First-principles (PBE) data for a relaxed structure of Cs6LuSb3, as listed in OQMD via LeMat-Bulk.

As for the total energy: -53.32 eV for the cell shown.

The structure belongs to space group P2_1/m (No. 11); the cell edges are 11.5015, 6.7637 and 13.1970 Å and the angles 90.00°, 101.25° and 90.00°. Symmetry generates all atoms from Cs at (0.0379, 0.2500, 0.0709), Cs at (0.0555, 0.2500, 0.4583), Cs at (0.2450, 0.7500, 0.7854), Cs at (0.3696, 0.2500, 0.9842), Cs at (0.3920, 0.2500, 0.3294), Cs at (0.4020, 0.2500, 0.6393), Lu at (0.1751, 0.7500, 0.2783), Sb at (0.0820, 0.2500, 0.7710), Sb at (0.2929, 0.7500, 0.4944) and Sb at (0.3179, 0.7500, 0.1176).

=====

Record 4
First-principles (PBE) data for a relaxed structure of CsLuSbTe3, as listed in OQMD via LeMat-Bulk.

As for the total energy: -92.94 eV for the cell shown.

The structure belongs to space group Cmcm (No. 63); the cell edges are 4.2139, 18.1598 and 12.5984 Å and the angles 90.00°, 90.00° and 90.00°. Symmetry generates all atoms from Cs at (0.0000, 0.2246, 0.2500), Lu at (0.0000, 0.5000, 0.0000), Sb at (0.0000, 0.0904, 0.7500), Te at (0.0000, 0.1182, 0.5119) and Te at (0.0000, 0.4671, 0.7500).

=====

Record 5
First-principles (PBE) data for a relaxed structure of CsLuScSe3, as listed in OQMD via LeMat-Bulk.

As for the total energy: -126.20 eV for the cell shown.

The structure belongs to space group Cmcm (No. 63); the cell edges are 4.2423, 16.1409 and 10.9128 Å and the angles 90.00°, 90.00° and 90.00°. Symmetry generates all atoms from Cs at (0.0000, 0.2383, 0.2500), Lu at (0.0000, 0.5000, 0.0000), Sc at (0.0000, 0.0375, 0.7500), Se at (0.0000, 0.1168, 0.5470) and Se at (0.0000, 0.4448, 0.7500).

=====

Record 6
First-principles (PBE) data for a relaxed structure of CsLuScTe3, as listed in OQMD via LeMat-Bulk.

As for the total energy: -112.06 eV for the cell shown. The calculation puts the relative energy among the computed polymorphs at 54 meV/atom.

The structure belongs to space group Cmcm (No. 63); the cell edges are 4.5835, 17.4839 and 11.4413 Å and the angles 90.00°, 90.00° and 90.00°. Symmetry generates all atoms from Cs at (0.0000, 0.2500, 0.2500), Lu at (0.0000, 0.0290, 0.7500), Sc at (0.0000, 0.5000, 0.0000), Te at (0.0000, 0.1160, 0.5388) and Te at (0.0000, 0.4306, 0.7500).

=====

Record 7
First-principles (PBE) data for a relaxed structure of CsLuScTe3, as listed in OQMD via LeMat-Bulk.

As for the total energy: -113.36 eV for the cell shown. The calculation puts the relative energy among the computed polymorphs at 0 meV/atom.

The structure belongs to space group Cmcm (No. 63); the cell edges are 4.4698, 17.3559 and 11.6080 Å and the angles 90.00°, 90.00° and 90.00°. Symmetry generates all atoms from Cs at (0.0000, 0.2414, 0.2500), Lu at (0.0000, 0.5000, 0.0000), Sc at (0.0000, 0.0395, 0.7500), Te at (0.0000, 0.1206, 0.5445) and Te at (0.0000, 0.4399, 0.7500).

=====

Record 8
First-principles (PBE) data for a relaxed structure of CsSmLuSe3, as listed in OQMD via LeMat-Bulk.

As for the total energy: -120.15 eV for the cell shown.

The structure belongs to space group Cmcm (No. 63); the cell edges are 4.5143, 16.4413 and 11.3846 Å and the angles 90.00°, 90.00° and 90.00°. Symmetry generates all atoms from Cs at (0.0000, 0.2381, 0.2500), Sm at (0.0000, 0.5000, 0.0000), Lu at (0.0000, 0.0327, 0.7500), Se at (0.0000, 0.1176, 0.5526) and Se at (0.0000, 0.4436, 0.7500).

=====

Record 9
First-principles (PBE) data for a relaxed structure of CsLuSnSe3, as listed in OQMD via LeMat-Bulk.

As for the total energy: -107.89 eV for the cell shown.

The structure belongs to space group Cmcm (No. 63); the cell edges are 4.0747, 17.6628 and 11.8756 Å and the angles 90.00°, 90.00° and 90.00°. Symmetry generates all atoms from Cs at (0.0000, 0.1991, 0.2500), Lu at (0.0000, 0.5000, 0.0000), Sn at (0.0000, 0.1050, 0.7500), Se at (0.0000, 0.1078, 0.5050) and Se at (0.0000, 0.4991, 0.7500).

=====

Record 10
First-principles (PBE) data for a relaxed structure of CsSrLuSe3, as listed in OQMD via LeMat-Bulk.

As for the total energy: -110.58 eV for the cell shown.

The structure belongs to space group Cmcm (No. 63); the cell edges are 4.6259, 16.3636 and 12.3746 Å and the angles 90.00°, 90.00° and 90.00°. Symmetry generates all atoms from Cs at (0.0000, 0.2451, 0.2500), Sr at (0.0000, 0.5000, 0.0000), Lu at (0.0000, 0.0319, 0.7500), Se at (0.0000, 0.1186, 0.5738) and Se at (0.0000, 0.4422, 0.7500).

=====

Record 11
First-principles (PBE) data for a relaxed structure of CsLuZnTe2Se, as listed in OQMD via LeMat-Bulk.

As for the total energy: -93.91 eV for the cell shown.

The structure belongs to space group Cmcm (No. 63); the cell edges are 4.3000, 16.9843 and 11.1246 Å and the angles 90.00°, 90.00° and 90.00°. Symmetry generates all atoms from Cs at (0.0000, 0.2353, 0.2500), Lu at (0.0000, 0.5000, 0.0000), Zn at (0.0000, 0.0377, 0.7500), Te at (0.0000, 0.1214, 0.5501) and Se at (0.0000, 0.4529, 0.7500).

=====

Record 12
First-principles (PBE) data for a relaxed structure of CsLuTlSe3, as listed in OQMD via LeMat-Bulk.

As for the total energy: -99.14 eV for the cell shown.

The structure belongs to space group Cmcm (No. 63); the cell edges are 4.2322, 16.5727 and 11.5676 Å and the angles 90.00°, 90.00° and 90.00°. Symmetry generates all atoms from Cs at (0.0000, 0.2300, 0.2500), Lu at (0.0000, 0.5000, 0.0000), Tl at (0.0000, 0.0736, 0.7500), Se at (0.0000, 0.1153, 0.5116) and Se at (0.0000, 0.4599, 0.7500).